[1]
The following is a PBE calculation of a geometry-optimized K3TmCl6 structure, from Alexandria.

Lattice parameters (Å, degrees): 7.8381 12.7845 13.1840 70.12 90.00 90.00
With the nearest neighbours (Å) after each atom.
Positions (direct):
K1 0.4499 0.7320 0.3077  5 Cl 3.05-3.35
K2 0.5501 0.2680 0.6923  5 Cl 3.05-3.35
K3 0.9499 0.7680 0.6923  5 Cl 3.05-3.35
K4 0.0501 0.2320 0.3077  5 Cl 3.05-3.35
K5 0.0436 0.6276 0.1129  7 Cl 3.23-3.49
K6 0.9564 0.3724 0.8871  7 Cl 3.23-3.49
K7 0.5436 0.8724 0.8871  7 Cl 3.23-3.49
K8 0.4564 0.1276 0.1129  7 Cl 3.23-3.49
K9 0.9215 0.8882 0.3273  6 Cl 3.13-3.30
K10 0.0785 0.1118 0.6727  6 Cl 3.13-3.30
K11 0.4215 0.6118 0.6727  6 Cl 3.13-3.30
K12 0.5785 0.3882 0.3273  6 Cl 3.13-3.30
Tm1 0.0000 0.5000 0.5000  6 Cl 2.61-2.63
Tm2 0.5000 0.0000 0.5000  6 Cl 2.61-2.63
Tm3 0.0000 0.0000 0.0000  6 Cl 2.59-2.65
Tm4 0.5000 0.5000 0.0000  6 Cl 2.59-2.65
Cl1 0.4630 0.6473 0.0941  1 Tm 2.60
Cl2 0.5370 0.3527 0.9059  1 Tm 2.60
Cl3 0.9630 0.8527 0.9059  1 Tm 2.60
Cl4 0.0370 0.1473 0.0941  1 Tm 2.60
Cl5 0.2646 0.0051 0.3584  1 Tm 2.61
Cl6 0.7354 0.9949 0.6416  1 Tm 2.61
Cl7 0.7646 0.4949 0.6416  1 Tm 2.61
Cl8 0.2354 0.5051 0.3584  1 Tm 2.61
Cl9 0.8001 0.6043 0.3376  1 Tm 2.62
Cl10 0.1999 0.3957 0.6624  1 Tm 2.62
Cl11 0.3001 0.8957 0.6624  1 Tm 2.62
Cl12 0.6999 0.1043 0.3376  1 Tm 2.62
Cl13 0.6187 0.8096 0.4937  1 Tm 2.63
Cl14 0.3813 0.1904 0.5063  1 Tm 2.63
Cl15 0.1187 0.6904 0.5063  1 Tm 2.63
Cl16 0.8813 0.3096 0.4937  1 Tm 2.63
Cl17 0.1669 0.8543 0.1539  1 Tm 2.59
Cl18 0.8331 0.1457 0.8461  1 Tm 2.59
Cl19 0.6669 0.6457 0.8461  1 Tm 2.59
Cl20 0.3331 0.3543 0.1539  1 Tm 2.59
Cl21 0.7124 0.9313 0.1069  1 Tm 2.65
Cl22 0.2876 0.0687 0.8931  1 Tm 2.65
Cl23 0.2124 0.5687 0.8931  1 Tm 2.65
Cl24 0.7876 0.4313 0.1069  1 Tm 2.65

Output
Magnetic moment (μB/f.u.): 0.00
Energy (eV per atom): -4.020

[2]
The following is a PBE calculation of a geometry-optimized In2Ga2I5 structure, from Alexandria.

Lattice parameters (Å, degrees): 5.7270 10.1344 6.8929 97.81 90.00 106.41
With the nearest neighbours (Å) after each atom.
Positions (direct):
In1 0.4424 0.8847 0.6727  3 I 3.29-3.44, 1 In 3.49
In2 0.5576 0.1153 0.3273  3 I 3.29-3.44, 1 In 3.49
Ga1 0.1535 0.3069 0.9378  4 I 2.83-3.07
Ga2 0.8465 0.6931 0.0622  4 I 2.83-3.07
I1 0.3312 0.6624 0.9907  2 Ga 2.91
I2 0.6688 0.3376 0.0093  2 Ga 2.91
I3 0.1381 0.2763 0.5227  1 Ga 2.83
I4 0.8619 0.7237 0.4773  1 Ga 2.83
I5 0.0000 0.0000 0.0000  2 Ga 3.07

Output
Magnetic moment (μB/f.u.): 0.00
Energy (eV per atom): -2.494

[3]
The following is a PBE calculation of a geometry-optimized NdCd8Rh2 structure, from Alexandria.

Lattice parameters (Å, degrees): 5.3546 7.3217 7.3217 112.71 99.63 99.63
With the nearest neighbours (Å) after each atom.
Positions (direct):
Nd1 0.5000 0.0000 0.0000  12 Cd 3.19-3.48
Cd1 0.8987 0.9200 0.6748  2 Rh 2.72-2.77, 2 Cd 2.99-3.02
Cd2 0.8987 0.6748 0.9200  2 Rh 2.72-2.77, 2 Cd 2.99-3.02
Cd3 0.2871 0.5876 0.5876  2 Rh 2.80, 2 Cd 2.97-3.03
Cd4 0.5000 0.7351 0.2649  2 Rh 2.72, 2 Cd 3.02
Cd5 0.5000 0.2649 0.7351  2 Rh 2.72, 2 Cd 3.02
Cd6 0.7129 0.4124 0.4124  2 Rh 2.80, 2 Cd 2.97-3.03
Cd7 0.1013 0.3252 0.0800  2 Rh 2.72-2.77, 2 Cd 2.99-3.02
Cd8 0.1013 0.0800 0.3252  2 Rh 2.72-2.77, 2 Cd 2.99-3.02
Rh1 0.0000 0.3050 0.6950  8 Cd 2.72-2.80
Rh2 0.0000 0.6950 0.3050  8 Cd 2.72-2.80

Output
Magnetic moment (μB/f.u.): 0.00
ΔH_f (0 K) (eV/f.u.): -0.6

[4]
The following is a PBE calculation of a geometry-optimized Zr2ScSe structure, from Alexandria.

Lattice parameters (Å, degrees): 8.2815 8.2815 6.4540 50.09 50.09 90.00
With the nearest neighbours (Å) after each atom.
Positions (direct):
Sc1 0.5000 0.5000 0.0000  2 Se 2.71
Sc2 0.2500 0.7500 0.5000  2 Se 2.71
Se1 0.0000 0.0000 0.0000  4 Zr 2.67, 2 Sc 2.71
Se2 0.7500 0.2500 0.5000  4 Zr 2.67, 2 Sc 2.71
Zr1 0.6889 0.1250 0.2500  2 Se 2.67, 2 Zr 2.91
Zr2 0.0611 0.6250 0.2500  2 Se 2.67, 2 Zr 2.91
Zr3 0.3750 0.3111 0.7500  2 Se 2.67, 2 Zr 2.91
Zr4 0.8750 0.9389 0.7500  2 Se 2.67, 2 Zr 2.91

Output
Magnetic moment (μB/f.u.): 0.00
Energy (eV per atom): -7.036

[5]
The following is a PBE calculation of a geometry-optimized KLi3Hg3 structure, from Alexandria.

Lattice parameters (Å, degrees): 7.4866 7.4866 7.4866 90.00 90.00 90.00
With the nearest neighbours (Å) after each atom.
Positions (direct):
K1 0.5000 0.5000 0.5000  12 Hg 4.19, 12 Li 4.19
K2 0.0000 0.0000 0.0000  12 Hg 4.19, 12 Li 4.19
Hg1 0.2500 0.0000 0.5000  4 Li 2.65
Hg2 0.0000 0.5000 0.2500  4 Li 2.65
Hg3 0.5000 0.7500 0.0000  4 Li 2.65
Hg4 0.7500 0.0000 0.5000  4 Li 2.65
Hg5 0.0000 0.5000 0.7500  4 Li 2.65
Hg6 0.5000 0.2500 0.0000  4 Li 2.65
Li1 0.0000 0.2500 0.5000  4 Hg 2.65
Li2 0.0000 0.7500 0.5000  4 Hg 2.65
Li3 0.5000 0.0000 0.7500  4 Hg 2.65
Li4 0.7500 0.5000 0.0000  4 Hg 2.65
Li5 0.5000 0.0000 0.2500  4 Hg 2.65
Li6 0.2500 0.5000 0.0000  4 Hg 2.65

Output
Magnetic moment (μB/f.u.): 0.00
ΔH_f (0 K) (eV/f.u.): -0.7

[6]
The following is a PBE calculation of a geometry-optimized NaCa2Se structure, from Alexandria.

Lattice parameters (Å, degrees): 8.7342 8.7342 7.2753 53.11 53.11 90.00
With the nearest neighbours (Å) after each atom.
Positions (direct):
Na1 0.5000 0.5000 0.0000  8 Ca 3.68-3.94, 2 Se 3.85
Na2 0.2500 0.7500 0.5000  8 Ca 3.68-3.94, 2 Se 3.85
Ca1 0.6954 0.1250 0.2500  2 Se 2.86
Ca2 0.0546 0.6250 0.2500  2 Se 2.86
Ca3 0.3750 0.3046 0.7500  2 Se 2.86
Ca4 0.8750 0.9454 0.7500  2 Se 2.86
Se1 0.0000 0.0000 0.0000  4 Ca 2.86
Se2 0.7500 0.2500 0.5000  4 Ca 2.86

Output
Magnetic moment (μB/f.u.): 0.00
Energy (eV per atom): -2.872

[7]
The following is a PBE calculation of a geometry-optimized CrCCl3 structure, from Alexandria.

Lattice parameters (Å, degrees): 4.4872 4.4872 4.4872 90.00 90.00 90.00
With the nearest neighbours (Å) after each atom.
Positions (direct):
Cr1 0.5000 0.5000 0.5000  12 Cl 3.17
C1 0.0000 0.0000 0.0000  6 Cl 2.24
Cl1 0.0000 0.5000 0.0000  2 C 2.24
Cl2 0.0000 0.0000 0.5000  2 C 2.24
Cl3 0.5000 0.0000 0.0000  2 C 2.24

Output
Magnetic moment (μB/f.u.): 4.98
Energy (eV per atom): -3.944

[8]
The following is a PBE calculation of a geometry-optimized UMn4Ge structure, from Alexandria.

Lattice parameters (Å, degrees): 4.5171 4.5171 9.4833 103.78 103.78 90.00
With the nearest neighbours (Å) after each atom.
Positions (direct):
U1 0.0000 0.0000 0.0000  4 Mn 2.59
U2 0.7500 0.2500 0.5000  4 Mn 2.59
Mn1 0.6196 0.3688 0.2393  4 Mn 2.25-2.27, 1 Ge 2.42
Mn2 0.6204 0.8696 0.7393  4 Mn 2.25-2.27, 1 Ge 2.42
Mn3 0.1188 0.8696 0.7393  4 Mn 2.25-2.27, 1 Ge 2.42
Mn4 0.6196 0.8704 0.2393  4 Mn 2.25-2.27, 1 Ge 2.42
Mn5 0.1304 0.3796 0.2607  4 Mn 2.25-2.27, 1 Ge 2.42
Mn6 0.6312 0.3804 0.7607  4 Mn 2.25-2.27, 1 Ge 2.42
Mn7 0.1296 0.3804 0.7607  4 Mn 2.25-2.27, 1 Ge 2.42
Mn8 0.1304 0.8812 0.2607  4 Mn 2.25-2.27, 1 Ge 2.42
Ge1 0.5000 0.5000 0.0000  4 Mn 2.42
Ge2 0.2500 0.7500 0.5000  4 Mn 2.42

Output
Magnetic moment (μB/f.u.): 0.41
ΔH_f (0 K) (eV/f.u.): 2.6